Entry 1:
First-principles (PBE) data for crystalline La3Hg3Pd2Au at its relaxed geometry, as listed in OQMD.

Calculated values
- ρ (Mg/m³) = 10.69
- volume (Å³/atom) = 24.6
- size of the total moment (μB per formula unit) = 0.019
- VASP energy (eV/atom) = -3.9718

Cell and atoms, written as CIF:
```
data_La3Hg3Pd2Au
_chemical_formula_sum 'La3 Hg3 Pd2 Au1'
_cell_length_a 7.9326
_cell_length_b 7.9326
_cell_length_c 4.0707
_cell_angle_alpha 90.00
_cell_angle_beta 90.00
_cell_angle_gamma 120.00
_symmetry_space_group_name_H-M 'P -6 2 m'
_symmetry_Int_Tables_number 189
_symmetry_space_group_name_Hall 'P -6 -2'
loop_
_atom_site_label
_atom_site_type_symbol
_atom_site_fract_x
_atom_site_fract_y
_atom_site_fract_z
La1 La 0.0000 0.5957 0.0000
Hg1 Hg 0.0000 0.2669 0.5000
Pd1 Pd 0.3333 0.6667 0.5000
Au1 Au 0.0000 0.0000 0.0000
```

=====

Entry 2:
First-principles (PBE) data for crystalline HfNi2Sn at its relaxed geometry, as listed in OQMD.

Calculated values
- ρ (Mg/m³) = 10.80
- volume (Å³/atom) = 15.9
- size of the total moment (μB per formula unit) = 0.001
- VASP energy (eV/atom) = -6.4040

Cell and atoms, written as CIF:
```
data_HfNi2Sn
_chemical_formula_sum 'Hf4 Ni8 Sn4'
_cell_length_a 6.3408
_cell_length_b 6.3408
_cell_length_c 6.3408
_cell_angle_alpha 90.00
_cell_angle_beta 90.00
_cell_angle_gamma 90.00
_symmetry_space_group_name_H-M 'F -4 3 m'
_symmetry_Int_Tables_number 216
_symmetry_space_group_name_Hall 'F -4 2 3'
loop_
_atom_site_label
_atom_site_type_symbol
_atom_site_fract_x
_atom_site_fract_y
_atom_site_fract_z
Hf1 Hf 0.0000 0.0000 0.0000
Ni1 Ni 0.0000 0.0000 0.5000
Ni2 Ni 0.2500 0.2500 0.2500
Sn1 Sn 0.2500 0.2500 0.7500
```

=====

Entry 3:
First-principles (PBE) data for crystalline PuPaSb at its relaxed geometry, as listed in OQMD.

Calculated values
- ρ (Mg/m³) = 11.45
- volume (Å³/atom) = 28.9
- size of the total moment (μB per formula unit) = 9.205
- VASP energy (eV/atom) = -9.1794

Cell and atoms, written as CIF:
```
data_PuPaSb
_chemical_formula_sum 'Pu4 Pa4 Sb4'
_cell_length_a 7.0220
_cell_length_b 7.0220
_cell_length_c 7.0220
_cell_angle_alpha 90.00
_cell_angle_beta 90.00
_cell_angle_gamma 90.00
_symmetry_space_group_name_H-M 'F -4 3 m'
_symmetry_Int_Tables_number 216
_symmetry_space_group_name_Hall 'F -4 2 3'
loop_
_atom_site_label
_atom_site_type_symbol
_atom_site_fract_x
_atom_site_fract_y
_atom_site_fract_z
Pu1 Pu 0.0000 0.0000 0.0000
Pa1 Pa 0.2500 0.2500 0.7500
Sb1 Sb 0.2500 0.2500 0.2500
```

=====

Entry 4:
First-principles (PBE) data for crystalline KMgTaNi at its relaxed geometry, as listed in OQMD.

Calculated values
- ρ (Mg/m³) = 6.13
- volume (Å³/atom) = 20.5
- size of the total moment (μB per formula unit) = 0.003
- VASP energy (eV/atom) = -3.8785

Cell and atoms, written as CIF:
```
data_KMgTaNi
_chemical_formula_sum 'K4 Mg4 Ta4 Ni4'
_cell_length_a 6.8994
_cell_length_b 6.8994
_cell_length_c 6.8994
_cell_angle_alpha 90.00
_cell_angle_beta 90.00
_cell_angle_gamma 90.00
_symmetry_space_group_name_H-M 'F -4 3 m'
_symmetry_Int_Tables_number 216
_symmetry_space_group_name_Hall 'F -4 2 3'
loop_
_atom_site_label
_atom_site_type_symbol
_atom_site_fract_x
_atom_site_fract_y
_atom_site_fract_z
K1 K 0.0000 0.0000 0.0000
Mg1 Mg 0.2500 0.2500 0.7500
Ta1 Ta 0.0000 0.0000 0.5000
Ni1 Ni 0.2500 0.2500 0.2500
```